Record 1
Material: CuSbTe2
Method: DFT, PBE-GGA
State: optimized geometry

VASP energy, eV/cell: -58.17
ΔE_f (raw), kJ per mole of atoms: -1.0
Size of the total moment, μB per atom: 0.0000
V, A^3/atom: 31.26

Unit cell a=6.9010 b=8.5346 c=8.4930 alpha=90.00 beta=90.00 gamma=90.00
Fractional positions:
1 Cu 0.0037 0.5649 0.8689
2 Cu 0.5037 0.9351 0.3689
3 Cu 0.0037 0.0649 0.6311
4 Cu 0.5037 0.4351 0.1311
5 Sb 0.9948 0.6394 0.4232
6 Sb 0.4948 0.3606 0.5768
7 Sb 0.4948 0.8606 0.9232
8 Sb 0.9948 0.1394 0.0768
9 Te 0.3999 0.1426 0.1613
10 Te 0.3999 0.6426 0.3387
11 Te 0.8999 0.8574 0.8387
12 Te 0.8999 0.3574 0.6613
13 Te 0.8747 0.4743 0.1442
14 Te 0.3747 0.5257 0.8558
15 Te 0.3747 0.0257 0.6442
16 Te 0.8747 0.9743 0.3558

=====

Record 2
Material: Cu2Sb2Te
Method: DFT, PBE-GGA
State: optimized geometry

Fermi-level density of states, states/eV per cell: 4.6
VASP energy, eV/cell: -36.45
ΔE_f (raw), kJ per mole of atoms: 26.1
Size of the total moment, μB per atom: 0.0000
V, A^3/atom: 22.17

Unit cell a=8.3442 b=8.3442 c=3.1849 alpha=90.00 beta=90.00 gamma=90.00
Fractional positions:
1 Sb 0.3154 0.8154 0.0000
2 Sb 0.8154 0.6846 0.0000
3 Sb 0.6846 0.1846 0.0000
4 Sb 0.1846 0.3154 0.0000
5 Te 0.0000 0.0000 0.0000
6 Te 0.5000 0.5000 0.0000
7 Cu 0.1069 0.6069 0.5000
8 Cu 0.6069 0.8931 0.5000
9 Cu 0.8931 0.3931 0.5000
10 Cu 0.3931 0.1069 0.5000

=====

Record 3
Material: Cu2SbTe
Method: DFT, PBE-GGA
State: optimized geometry

Fermi-level density of states, states/eV per cell: 2.1
VASP energy, eV/cell: -14.01
ΔE_f (raw), kJ per mole of atoms: 35.0
Size of the total moment, μB per atom: 0.0000
V, A^3/atom: 19.81

Unit cell a=4.9710 b=4.9710 c=4.9710 alpha=125.06 beta=125.06 gamma=81.43
Fractional positions:
1 Cu 0.0000 0.0000 0.0000
2 Cu 0.5000 0.5000 0.0000
3 Sb 0.2500 0.7500 0.5000
4 Te 0.7500 0.2500 0.5000

=====

Record 4
Material: Cu2SbTe
Method: DFT, PBE-GGA
State: optimized geometry

Fermi-level density of states, states/eV per cell: 3.8
VASP energy, eV/cell: -14.16
ΔE_f (raw), kJ per mole of atoms: 31.3
Size of the total moment, μB per atom: 0.0001
V, A^3/atom: 22.13

Unit cell a=9.7991 b=9.7991 c=9.7991 alpha=19.15 beta=19.15 gamma=19.15
Fractional positions:
1 Cu 0.9885 0.9885 0.9885
2 Cu 0.2617 0.2617 0.2617
3 Sb 0.5264 0.5264 0.5264
4 Te 0.7235 0.7235 0.7235